Record 1
A relaxed structure of RbSbH, computed with PBE.

Values from the calculation:
D(E_F) = 6.9 states/eV/cell
Crystal system = orthorhombic
Magnetization = 0.0 μB per formula unit
Raw total energy = -2.78 eV/atom

Lattice parameters (Å, degrees): 8.208 11.213 4.044 90.00 90.00 90.00
Positions (direct):
Rb (0.006, 0.216, 0.000)
Rb (0.494, 0.716, 0.500)
Rb (0.506, 0.284, 0.000)
Rb (0.994, 0.784, 0.500)
Sb (0.191, 0.526, 0.999)
Sb (0.309, 0.026, 0.499)
Sb (0.691, 0.974, 0.999)
Sb (0.809, 0.474, 0.499)
H (0.013, 0.455, 0.740)
H (0.487, 0.955, 0.240)
H (0.513, 0.045, 0.740)
H (0.987, 0.545, 0.240)


Record 2
A relaxed structure of Rb12Sb3H5, computed with PBE.

Values from the calculation:
D(E_F) = 49.3 states/eV/cell
Crystal system = cubic
Magnetization = 2.2 μB per formula unit
Raw total energy = -2.23 eV/atom

Lattice parameters (Å, degrees): 16.574 16.574 16.574 109.47 109.47 109.47
Positions (direct):
Rb (0.026, 0.207, 0.122)
Rb (0.026, 0.319, 0.904)
Rb (0.085, 0.707, 0.681)
Rb (0.085, 0.878, 0.404)
Rb (0.096, 0.622, 0.415)
Rb (0.096, 0.974, 0.681)
Rb (0.122, 0.026, 0.207)
Rb (0.122, 0.596, 0.915)
Rb (0.181, 0.207, 0.585)
Rb (0.181, 0.474, 0.596)
Rb (0.207, 0.122, 0.026)
Rb (0.207, 0.585, 0.181)
Rb (0.293, 0.319, 0.915)
Rb (0.293, 0.474, 0.378)
Rb (0.319, 0.904, 0.026)
Rb (0.319, 0.915, 0.293)
Rb (0.378, 0.293, 0.474)
Rb (0.378, 0.585, 0.904)
Rb (0.404, 0.085, 0.878)
Rb (0.404, 0.819, 0.526)
Rb (0.415, 0.096, 0.622)
Rb (0.415, 0.819, 0.793)
Rb (0.474, 0.378, 0.293)
Rb (0.474, 0.596, 0.181)
Rb (0.526, 0.404, 0.819)
Rb (0.526, 0.622, 0.707)
Rb (0.585, 0.181, 0.207)
Rb (0.585, 0.904, 0.378)
Rb (0.596, 0.181, 0.474)
Rb (0.596, 0.915, 0.122)
Rb (0.622, 0.415, 0.096)
Rb (0.622, 0.707, 0.526)
Rb (0.681, 0.085, 0.707)
Rb (0.681, 0.096, 0.974)
Rb (0.707, 0.526, 0.622)
Rb (0.707, 0.681, 0.085)
Rb (0.793, 0.415, 0.819)
Rb (0.793, 0.878, 0.974)
Rb (0.819, 0.526, 0.404)
Rb (0.819, 0.793, 0.415)
Rb (0.878, 0.404, 0.085)
Rb (0.878, 0.974, 0.793)
Rb (0.904, 0.026, 0.319)
Rb (0.904, 0.378, 0.585)
Rb (0.915, 0.122, 0.596)
Rb (0.915, 0.293, 0.319)
Rb (0.974, 0.681, 0.096)
Rb (0.974, 0.793, 0.878)
Sb (0.125, 0.250, 0.375)
Sb (0.125, 0.375, 0.750)
Sb (0.250, 0.375, 0.125)
Sb (0.250, 0.875, 0.625)
Sb (0.375, 0.125, 0.250)
Sb (0.375, 0.750, 0.125)
Sb (0.625, 0.250, 0.875)
Sb (0.625, 0.875, 0.750)
Sb (0.750, 0.125, 0.375)
Sb (0.750, 0.625, 0.875)
Sb (0.875, 0.625, 0.250)
Sb (0.875, 0.750, 0.625)
H (0.000, 0.000, 0.000)
H (0.000, 0.000, 0.500)
H (0.000, 0.500, 0.000)
H (0.000, 0.500, 0.500)
H (0.125, 0.750, 0.875)
H (0.125, 0.875, 0.250)
H (0.250, 0.125, 0.875)
H (0.250, 0.625, 0.375)
H (0.375, 0.250, 0.625)
H (0.375, 0.625, 0.750)
H (0.500, 0.000, 0.000)
H (0.500, 0.000, 0.500)
H (0.500, 0.500, 0.000)
H (0.500, 0.500, 0.500)
H (0.625, 0.375, 0.250)
H (0.625, 0.750, 0.375)
H (0.750, 0.375, 0.625)
H (0.750, 0.875, 0.125)
H (0.875, 0.125, 0.750)
H (0.875, 0.250, 0.125)


Record 3
A relaxed structure of RbSbH, computed with PBE.

Values from the calculation:
D(E_F) = 3.3 states/eV/cell
Crystal system = orthorhombic
Magnetization = 0.0 μB per formula unit
Raw total energy = -2.99 eV/atom

Lattice parameters (Å, degrees): 6.012 6.159 6.159 60.96 90.00 90.00
Positions (direct):
Rb (0.000, 0.000, 0.000)
Rb (0.500, 0.329, 0.329)
Sb (0.241, 0.664, 0.664)
Sb (0.759, 0.664, 0.664)
H (0.500, 0.101, 0.978)
H (0.500, 0.978, 0.101)


Record 4
A relaxed structure of RbSbH, computed with PBE.

Values from the calculation:
D(E_F) = 1.3 states/eV/cell
Crystal system = tetragonal
Magnetization = 1.0 μB per formula unit
Raw total energy = -2.73 eV/atom

Lattice parameters (Å, degrees): 5.658 5.658 5.658 124.23 124.23 82.82
Positions (direct):
Rb (0.000, 0.000, 0.000)
Sb (0.450, 0.450, 0.000)
H (0.655, 0.655, 0.000)


Record 5
A relaxed structure of RbSb2H, computed with PBE.

Values from the calculation:
D(E_F) = 2.8 states/eV/cell
Crystal system = cubic
Magnetization = 0.5 μB per formula unit
Raw total energy = -2.27 eV/atom

Lattice parameters (Å, degrees): 5.428 5.428 5.428 60.00 60.00 60.00
Positions (direct):
Rb (0.000, 0.000, 0.000)
Sb (0.250, 0.250, 0.250)
Sb (0.750, 0.750, 0.750)
H (0.500, 0.500, 0.500)


Record 6
A relaxed structure of RbSbH2, computed with PBE.

Values from the calculation:
D(E_F) = 0.0 states/eV/cell
Crystal system = tetragonal
Magnetization = 0.0 μB per formula unit
Raw total energy = -2.82 eV/atom

Lattice parameters (Å, degrees): 7.421 7.421 7.421 138.14 138.14 60.69
Positions (direct):
Rb (0.000, 0.000, 0.000)
Rb (0.750, 0.250, 0.500)
Sb (0.250, 0.750, 0.500)
Sb (0.500, 0.500, 0.000)
H (0.362, 0.625, 0.237)
H (0.375, 0.612, 0.737)
H (0.388, 0.125, 0.763)
H (0.875, 0.638, 0.263)


Record 7
A relaxed structure of RbSbH, computed with PBE.

Values from the calculation:
D(E_F) = 0.3 states/eV/cell
Crystal system = triclinic
Magnetization = 0.0 μB per formula unit
Raw total energy = -3.05 eV/atom

Lattice parameters (Å, degrees): 4.337 7.048 7.086 102.66 107.79 107.78
Positions (direct):
Rb (0.000, 0.000, 0.000)
Rb (0.002, 0.590, 0.417)
Sb (0.533, 0.328, 0.741)
Sb (0.781, 0.076, 0.488)
H (0.299, 0.582, 0.045)
H (0.406, 0.687, 0.139)


Record 8
A relaxed structure of RbSbH, computed with PBE.

Values from the calculation:
D(E_F) = 4.1 states/eV/cell
Crystal system = tetragonal
Magnetization = 0.3 μB per formula unit
Raw total energy = -2.69 eV/atom

Lattice parameters (Å, degrees): 4.045 4.045 10.621 90.00 90.00 90.00
Positions (direct):
Rb (0.250, 0.250, 0.171)
Rb (0.750, 0.750, 0.829)
Sb (0.250, 0.250, 0.555)
Sb (0.750, 0.750, 0.445)
H (0.250, 0.750, 0.000)
H (0.750, 0.250, 0.000)


Record 9
A relaxed structure of RbSb2H, computed with PBE.

Values from the calculation:
Crystal system = orthorhombic
Magnetization = 0.0 μB per formula unit
Raw total energy = -3.15 eV/atom

Lattice parameters (Å, degrees): 4.319 6.642 8.043 90.00 90.00 90.00
Positions (direct):
Rb (0.250, 0.250, 0.072)
Rb (0.750, 0.750, 0.928)
Sb (0.250, 0.035, 0.619)
Sb (0.250, 0.465, 0.619)
Sb (0.750, 0.535, 0.381)
Sb (0.750, 0.965, 0.381)
H (0.250, 0.750, 0.158)
H (0.750, 0.250, 0.842)


Record 10
A relaxed structure of Rb3SbH2, computed with PBE.

Values from the calculation:
Crystal system = triclinic
Magnetization = 0.0 μB per formula unit
Raw total energy = -2.52 eV/atom

Lattice parameters (Å, degrees): 4.877 5.900 14.063 91.17 90.10 90.02
Positions (direct):
Rb (0.246, 0.252, 0.088)
Rb (0.246, 0.759, 0.396)
Rb (0.254, 0.738, 0.664)
Rb (0.746, 0.262, 0.336)
Rb (0.754, 0.241, 0.604)
Rb (0.754, 0.748, 0.912)
Sb (0.248, 0.245, 0.819)
Sb (0.752, 0.755, 0.181)
H (0.248, 0.255, 0.454)
H (0.388, 0.757, 0.187)
H (0.612, 0.243, 0.813)
H (0.752, 0.745, 0.546)


Record 11
A relaxed structure of RbSbH, computed with PBE.

Values from the calculation:
D(E_F) = 0.8 states/eV/cell
Crystal system = monoclinic
Magnetization = 0.0 μB per formula unit
Raw total energy = -3.05 eV/atom

Lattice parameters (Å, degrees): 6.902 6.902 7.584 121.94 121.94 36.86
Positions (direct):
Rb (0.060, 0.060, 0.294)
Rb (0.940, 0.940, 0.706)
Sb (0.280, 0.280, 0.910)
Sb (0.720, 0.720, 0.090)
H (0.468, 0.468, 0.447)
H (0.532, 0.532, 0.553)


Record 12
A relaxed structure of RbSbH3, computed with PBE.

Values from the calculation:
D(E_F) = 0.8 states/eV/cell
Crystal system = cubic
Magnetization = 0.0 μB per formula unit
Raw total energy = -2.89 eV/atom

Lattice parameters (Å, degrees): 4.368 4.368 4.368 90.00 90.00 90.00
Positions (direct):
Rb (0.000, 0.000, 0.000)
Sb (0.500, 0.500, 0.500)
H (0.000, 0.500, 0.500)
H (0.500, 0.000, 0.500)
H (0.500, 0.500, 0.000)